{"formula": "Be5Cu4", "functional": "GGA-PBEsol", "state": "optimized geometry", "cell": [[-3.442, 1.632, -2.606], [-1.656, -6.101, -1.633], [-2.656, 2.806, 5.264]], "species": ["Be", "Be", "Be", "Be", "Be", "Be", "Be", "Be", "Be", "Be", "Cu", "Cu", "Cu", "Cu", "Cu", "Cu", "Cu", "Cu"], "frac_coords": [[0.750, 0.000, 0.693], [0.750, 0.693, 0.000], [0.750, 0.307, 0.307], [0.250, 0.000, 0.307], [0.250, 0.307, 0.000], [0.250, 0.693, 0.693], [0.000, 0.333, 0.667], [0.500, 0.667, 0.333], [0.000, 0.667, 0.333], [0.500, 0.333, 0.667], [0.000, 0.000, 0.000], [0.500, 0.000, 0.000], [0.750, 0.000, 0.366], [0.750, 0.366, 0.000], [0.750, 0.634, 0.634], [0.250, 0.000, 0.634], [0.250, 0.634, 0.000], [0.250, 0.366, 0.366]], "e_form_ev_per_fu": -0.49, "e_above_lowest_polymorph_mev_per_atom": 0, "spacegroup": "No. 193"}

{"formula": "Be2Cu", "functional": "GGA-PBEsol", "state": "optimized geometry", "cell": [[-1.590, 0.044, -1.995], [3.962, -0.268, -1.534], [-1.758, -5.057, 1.299]], "species": ["Be", "Be", "Be", "Be", "Cu", "Cu"], "frac_coords": [[0.975, 0.952, 0.744], [0.655, 0.309, 0.049], [0.345, 0.691, 0.951], [0.025, 0.048, 0.256], [0.334, 0.667, 0.378], [0.666, 0.333, 0.622]], "e_form_ev_per_fu": -0.18, "e_above_lowest_polymorph_mev_per_atom": 87, "spacegroup": "No. 12"}

{"formula": "Be12Cu17", "functional": "GGA-PBEsol", "state": "optimized geometry", "cell": [[-6.773, 2.401, 0.208], [0.750, -4.584, -5.487], [1.539, -3.366, 6.163]], "species": ["Be", "Be", "Be", "Be", "Be", "Be", "Be", "Be", "Be", "Be", "Be", "Be", "Cu", "Cu", "Cu", "Cu", "Cu", "Cu", "Cu", "Cu", "Cu", "Cu", "Cu", "Cu", "Cu", "Cu", "Cu", "Cu", "Cu"], "frac_coords": [[0.184, 0.372, 0.372], [0.816, 0.188, 0.188], [0.000, 0.812, 0.628], [0.000, 0.628, 0.812], [0.372, 0.184, 0.372], [0.188, 0.816, 0.188], [0.628, 0.000, 0.812], [0.812, 0.000, 0.628], [0.372, 0.372, 0.184], [0.188, 0.188, 0.816], [0.812, 0.628, 0.000], [0.628, 0.812, 0.000], [0.715, 0.400, 0.400], [0.285, 0.685, 0.685], [0.000, 0.315, 0.600], [0.000, 0.600, 0.315], [0.400, 0.715, 0.400], [0.685, 0.285, 0.685], [0.600, 0.000, 0.315], [0.315, 0.000, 0.600], [0.400, 0.400, 0.715], [0.685, 0.685, 0.285], [0.315, 0.600, 0.000], [0.600, 0.315, 0.000], [0.656, 0.656, 0.656], [0.344, 0.000, 0.000], [0.000, 0.000, 0.344], [0.000, 0.344, 0.000], [0.000, 0.000, 0.000]], "e_form_ev_per_fu": -1.27, "spacegroup": "No. 217"}

{"formula": "Be3Cu5", "functional": "GGA-PBEsol", "state": "optimized geometry", "cell": [[4.530, 0.000, 0.000], [0.000, 6.400, 0.000], [0.000, -3.200, 5.543]], "species": ["Be", "Be", "Be", "Be", "Be", "Be", "Cu", "Cu", "Cu", "Cu", "Cu", "Cu", "Cu", "Cu", "Cu", "Cu"], "frac_coords": [[0.750, 0.404, 0.404], [0.250, 0.596, 0.596], [0.750, 0.000, 0.596], [0.750, 0.596, 0.000], [0.250, 0.404, 0.000], [0.250, 0.000, 0.404], [0.000, 0.667, 0.333], [0.500, 0.333, 0.667], [0.000, 0.333, 0.667], [0.500, 0.667, 0.333], [0.750, 0.762, 0.762], [0.250, 0.238, 0.238], [0.750, 0.000, 0.238], [0.750, 0.238, 0.000], [0.250, 0.762, 0.000], [0.250, 0.000, 0.762]], "e_form_ev_per_fu": -0.25, "e_above_lowest_polymorph_mev_per_atom": 58, "spacegroup": "No. 193"}

{"formula": "BeCu", "functional": "GGA-PBEsol", "state": "optimized geometry", "cell": [[3.790, 0.000, 0.000], [0.000, 4.432, 0.000], [0.000, -2.216, 3.838]], "species": ["Be", "Be", "Be", "Cu", "Cu", "Cu"], "frac_coords": [[0.000, 0.500, 0.500], [0.000, 0.000, 0.500], [0.000, 0.500, 0.000], [0.000, 0.000, 0.000], [0.500, 0.667, 0.333], [0.500, 0.333, 0.667]], "e_form_ev_per_fu": 0.36, "spacegroup": "No. 191"}

{"formula": "Be3Cu", "functional": "GGA-PBEsol", "state": "optimized geometry", "cell": [[2.577, 0.000, 0.000], [0.000, 2.577, 0.000], [0.000, 0.000, 5.174]], "species": ["Be", "Be", "Be", "Cu"], "frac_coords": [[0.000, 0.000, 0.734], [0.500, 0.500, 0.500], [0.000, 0.000, 0.266], [0.500, 0.500, 0.000]], "e_form_ev_per_fu": -0.21, "spacegroup": "No. 123"}

{"formula": "Be3Cu5", "functional": "GGA-PBEsol", "state": "optimized geometry", "cell": [[3.679, 0.000, 0.000], [0.000, 4.719, -0.124], [0.000, -0.891, 4.636]], "species": ["Be", "Be", "Be", "Cu", "Cu", "Cu", "Cu", "Cu"], "frac_coords": [[0.000, 0.500, 0.500], [0.500, 0.766, 0.234], [0.500, 0.234, 0.766], [0.000, 0.000, 0.000], [0.000, 0.000, 0.500], [0.000, 0.500, 0.000], [0.500, 0.280, 0.280], [0.500, 0.720, 0.720]], "e_form_ev_per_fu": -0.46, "e_above_lowest_polymorph_mev_per_atom": 32, "spacegroup": "No. 65"}

{"formula": "Be7Cu", "functional": "GGA-PBEsol", "state": "optimized geometry", "cell": [[-2.131, 1.419, 3.761], [-3.577, -2.313, 1.597], [0.369, -2.380, 3.859]], "species": ["Be", "Be", "Be", "Be", "Be", "Be", "Be", "Cu"], "frac_coords": [[0.500, 0.000, 0.500], [0.000, 0.000, 0.500], [0.000, 0.500, 0.500], [0.000, 0.500, 0.000], [0.500, 0.500, 0.000], [0.500, 0.000, 0.000], [0.500, 0.500, 0.500], [0.000, 0.000, 0.000]], "e_form_ev_per_fu": 0.06, "spacegroup": "No. 225"}

{"formula": "Be2CuF", "functional": "GGA-PBEsol", "state": "optimized geometry", "cell": [[3.896, 0.000, 0.000], [1.948, 3.374, 0.000], [1.948, 1.125, 3.181]], "species": ["Be", "Be", "Cu", "F"], "frac_coords": [[0.250, 0.250, 0.250], [0.750, 0.750, 0.750], [0.500, 0.500, 0.500], [0.000, 0.000, 0.000]], "spacegroup": "No. 225", "e_form_raw_ev_per_atom": 0.18}

{"formula": "BeCuO2F", "functional": "GGA-PBEsol", "state": "optimized geometry", "cell": [[-2.990, -0.639, -1.283], [1.469, -0.594, -3.128], [0.373, -3.389, 0.818]], "species": ["Be", "O", "O", "Cu", "F"], "frac_coords": [[0.000, 0.000, 0.000], [0.000, 0.000, 0.500], [0.000, 0.500, 0.000], [0.500, 0.500, 0.500], [0.500, 0.000, 0.000]], "spacegroup": "No. 123", "e_form_raw_ev_per_atom": -0.98}